TiMnPOsS | GGA-PBE | relaxed

POSCAR file:
```
TiMnPOsS
1.0
3.988 0.152 0.246
1.837 3.512 0.532
1.573 0.462 6.387
Ti Mn P Os S
1 1 1 1 1
direct
0.822 0.916 0.338
0.677 0.772 0.776
0.056 0.150 0.638
0.417 0.512 0.553
0.546 0.640 0.162
```

Output
Total magnetization, μB/cell: 2.984
Raw formation energy, eV per formula unit: -2.5
Space group: Cm, No. 8
Distance to the lowest polymorph of the same formula, meV per atom: 36

GdHfC2 | GGA-PBE | relaxed

POSCAR file:
```
GdHfC2
1.0
3.421 0.000 0.000
1.711 2.963 0.000
1.711 0.988 5.727
C Gd Hf
2 1 1
direct
0.259 0.259 0.222
0.741 0.741 0.778
0.500 0.500 0.500
0.000 0.000 0.000
```

Output
Total magnetization, μB/cell: 6.781
Space group: R-3m, No. 166
Total DFT energy (no corrections), eV for the cell shown: -44.018